# PBE-GGA MgCdAg2, relaxed
# theoretical density = 7.61 g cm⁻³
# energy = -0.156 Ry per atom
data_MgCdAg2
_chemical_formula_sum 'Mg2 Cd2 Ag4'
_cell_length_a 5.3335
_cell_length_b 3.0836
_cell_length_c 9.5455
_cell_angle_alpha 90.00
_cell_angle_beta 101.36
_cell_angle_gamma 90.00
_symmetry_space_group_name_H-M 'C 1 m 1'
_symmetry_Int_Tables_number 8
_symmetry_space_group_name_Hall 'C -2y'
loop_
_atom_site_label
_atom_site_fract_x
_atom_site_fract_y
_atom_site_fract_z
_atom_site_occupancy
Mg1 0.0000 0.0000 0.0000 1
Cd1 0.1665 0.0000 0.4998 1
Ag1 0.0858 0.5000 0.7582 1
Ag2 0.4145 0.0000 0.2415 1


# PBE-GGA TbDy2Zn2, relaxed
# theoretical density = 8.31 g cm⁻³
# energy relative to the lowest polymorph listed for this composition = 0 meV/atom
data_TbDy2Zn2
_chemical_formula_sum 'Tb2 Dy4 Zn4'
_cell_length_a 3.6068
_cell_length_b 5.1575
_cell_length_c 13.3227
_cell_angle_alpha 90.00
_cell_angle_beta 97.80
_cell_angle_gamma 90.00
_symmetry_space_group_name_H-M 'P 1 21/m 1'
_symmetry_Int_Tables_number 11
_symmetry_space_group_name_Hall '-P 2yb'
loop_
_atom_site_label
_atom_site_fract_x
_atom_site_fract_y
_atom_site_fract_z
_atom_site_occupancy
Tb1 0.1442 0.2500 0.2869 1
Dy1 0.0463 0.7500 0.0921 1
Dy2 0.2320 0.7500 0.4650 1
Zn1 0.3602 0.2500 0.7204 1
Zn2 0.4513 0.7500 0.9025 1


# PBE-GGA HgSbH, relaxed
# theoretical density = 7.43 g cm⁻³
# energy relative to the lowest polymorph listed for this composition = 14 meV/atom
data_HgSbH
_chemical_formula_sum 'Hg2 Sb2 H2'
_cell_length_a 3.2029
_cell_length_b 4.5098
_cell_length_c 10.7851
_cell_angle_alpha 97.62
_cell_angle_beta 91.76
_cell_angle_gamma 110.12
_symmetry_space_group_name_H-M 'P -1'
_symmetry_Int_Tables_number 2
_symmetry_space_group_name_Hall '-P 1'
loop_
_atom_site_label
_atom_site_fract_x
_atom_site_fract_y
_atom_site_fract_z
_atom_site_occupancy
Hg1 0.1862 0.2111 0.3942 1
Sb1 0.4966 0.5144 0.8656 1
H1 0.3044 0.0692 0.0979 1